MnZnSi2 after structural relaxation, computed with PBE-GGA.

Summary:
Formation energy (no corrections) in eV/atom: -0.007
Total magnetic moment in μB per formula unit: 1.01
Crystal system: trigonal

The structure in CIF format:
```
data_MnZnSi2
_cell_length_a 2.8117
_cell_length_b 2.8117
_cell_length_c 23.3516
_cell_angle_alpha 90.00
_cell_angle_beta 90.00
_cell_angle_gamma 120.00
_symmetry_space_group_name_H-M 'R -3 m'
_symmetry_Int_Tables_number 166
_symmetry_space_group_name_Hall '-R 3 2"'
loop_
_atom_site_label
_atom_site_type_symbol
_atom_site_fract_x
_atom_site_fract_y
_atom_site_fract_z
Mn1 Mn 0.0000 0.0000 0.0000
Zn1 Zn 0.0000 0.0000 0.5000
Si1 Si 0.0000 0.0000 0.2596
```